[1]
First-principles (SCAN) data for a crystal of ZrCrTe2As relaxed with PBEsol, as listed in the Alexandria database.

Symmetry: P4/mmm, No. 123
Crystal system: tetragonal
Volume: 143.4 Å³/f.u.
Final energy: -27.98 eV/atom

Unit cell a=4.8933 b=5.4128 c=5.4128 alpha=90.00 beta=90.00 gamma=90.00
Sites, in units of the cell vectors:
Cr (0.5000, 0.0000, 0.0000)
Te (0.0000, 0.5000, 0.0000)
Te (0.0000, 0.0000, 0.5000)
Zr (0.0000, 0.0000, 0.0000)
As (0.5000, 0.5000, 0.5000)

[2]
First-principles (SCAN) data for a crystal of Tl4CrAs relaxed with PBEsol, as listed in the Alexandria database.

Symmetry: F-43m, No. 216
Crystal system: cubic
Calculated formation energy: 0.559 eV/atom
Volume: 161.7 Å³/f.u.
Final energy: -54.11 eV/atom

Unit cell a=6.1151 b=6.1151 c=6.1151 alpha=60.00 beta=60.00 gamma=60.00
Sites, in units of the cell vectors:
Tl (0.8743, 0.3752, 0.3752)
Tl (0.3752, 0.3752, 0.3752)
Tl (0.3752, 0.8743, 0.3752)
Cr (0.0000, 0.0000, 0.0000)
As (0.7500, 0.7500, 0.7500)
Tl (0.3752, 0.3752, 0.8743)

[3]
First-principles (SCAN) data for a crystal of TlCrAs2 relaxed with PBEsol, as listed in the Alexandria database.

Symmetry: Imm2, No. 44
Crystal system: orthorhombic
Relative energy among the computed polymorphs: 0 meV per atom
Calculated formation energy: 0.135 eV/atom
Volume: 79.5 Å³/f.u.
Final energy: -32.65 eV/atom

Unit cell a=3.0043 b=3.2418 c=8.4616 alpha=101.04 beta=100.23 gamma=90.00
Sites, in units of the cell vectors:
Cr (0.4542, 0.4542, 0.9084)
Tl (0.1853, 0.6853, 0.3706)
As (0.8419, 0.3419, 0.6838)
As (0.0186, 0.0186, 0.0372)

[4]
First-principles (SCAN) data for a crystal of TlCrAs2 relaxed with PBEsol, as listed in the Alexandria database.

Symmetry: R3m, No. 160
Crystal system: trigonal
Relative energy among the computed polymorphs: 298 meV per atom
Calculated formation energy: 0.433 eV/atom
Volume: 73.4 Å³/f.u.
Final energy: -32.35 eV/atom

Unit cell a=3.1287 b=3.1287 c=8.8483 alpha=79.82 beta=79.82 gamma=60.00
Sites, in units of the cell vectors:
As (0.0076, 0.0076, 0.9773)
Cr (0.4886, 0.4886, 0.5342)
Tl (0.2400, 0.2400, 0.2800)
As (0.7638, 0.7638, 0.7085)

[5]
First-principles (SCAN) data for a crystal of CrAs2W relaxed with PBEsol, as listed in the Alexandria database.

Symmetry: I-42d, No. 122
Crystal system: tetragonal
Calculated formation energy: 0.451 eV/atom
Volume: 87.5 Å³/f.u.
Final energy: -31.66 eV/atom

Unit cell a=5.6419 b=5.6419 c=6.7947 alpha=114.53 beta=114.53 gamma=90.00
Sites, in units of the cell vectors:
Cr (0.7500, 0.2500, 0.5000)
As (0.1250, 0.1260, 0.7500)
As (0.8740, 0.3750, 0.2500)
As (0.6250, 0.6240, 0.7500)
W (0.0000, 0.0000, 0.0000)
As (0.3760, 0.8750, 0.2500)
W (0.2500, 0.7500, 0.5000)
Cr (0.5000, 0.5000, 0.0000)

[6]
First-principles (SCAN) data for a crystal of Cr2AsW relaxed with PBEsol, as listed in the Alexandria database.

Symmetry: R3m, No. 160
Crystal system: trigonal
Calculated formation energy: 0.430 eV/atom
Volume: 54.4 Å³/f.u.
Final energy: -31.23 eV/atom

Unit cell a=2.8039 b=2.8039 c=8.1498 alpha=80.09 beta=80.09 gamma=60.00
Sites, in units of the cell vectors:
As (0.7437, 0.7437, 0.7689)
W (0.5026, 0.5026, 0.4923)
Cr (0.9946, 0.9946, 0.0162)
Cr (0.2591, 0.2591, 0.2226)

[7]
First-principles (SCAN) data for a crystal of Cr2AsW relaxed with PBEsol, as listed in the Alexandria database.

Symmetry: Imm2, No. 44
Crystal system: orthorhombic
Calculated formation energy: 0.132 eV/atom
Volume: 51.5 Å³/f.u.
Final energy: -31.53 eV/atom

Unit cell a=3.0660 b=3.9904 c=4.9027 alpha=114.01 beta=108.22 gamma=90.00
Sites, in units of the cell vectors:
As (0.2575, 0.2575, 0.5150)
W (0.4971, 0.9971, 0.9943)
Cr (0.7455, 0.7455, 0.4910)
Cr (0.9999, 0.4999, 0.9997)

[8]
First-principles (SCAN) data for a crystal of Cr2AsW relaxed with PBEsol, as listed in the Alexandria database.

Symmetry: P4/mmm, No. 123
Crystal system: tetragonal
Calculated formation energy: 0.100 eV/atom
Volume: 52.0 Å³/f.u.
Final energy: -31.56 eV/atom

Unit cell a=3.0595 b=3.0595 c=5.5556 alpha=90.00 beta=90.00 gamma=90.00
Sites, in units of the cell vectors:
As (0.5000, 0.5000, 0.5000)
Cr (0.0000, 0.0000, 0.7396)
W (0.5000, 0.5000, 0.0000)
Cr (0.0000, 0.0000, 0.2604)

[9]
First-principles (SCAN) data for a crystal of CrAsW2 relaxed with PBEsol, as listed in the Alexandria database.

Symmetry: R3m, No. 160
Crystal system: trigonal
Calculated formation energy: 0.460 eV/atom
Volume: 59.1 Å³/f.u.
Final energy: -44.03 eV/atom

Unit cell a=2.9075 b=2.9075 c=8.2387 alpha=79.84 beta=79.84 gamma=60.00
Sites, in units of the cell vectors:
W (0.9933, 0.9933, 0.0201)
Cr (0.2495, 0.2495, 0.2514)
W (0.7520, 0.7520, 0.7441)
As (0.5052, 0.5052, 0.4844)

[10]
First-principles (SCAN) data for a crystal of Cr2AsW relaxed with PBEsol, as listed in the Alexandria database.

Symmetry: Pm, No. 6
Crystal system: monoclinic
Calculated formation energy: 0.239 eV/atom
Volume: 53.1 Å³/f.u.
Final energy: -31.42 eV/atom

Unit cell a=2.7760 b=4.1818 c=4.7241 alpha=90.00 beta=104.27 gamma=90.00
Sites, in units of the cell vectors:
As (0.0929, 0.5000, 0.7639)
Cr (0.7642, 0.5000, 0.2243)
Cr (0.0821, 0.0000, 0.0128)
W (0.5608, 0.0000, 0.4990)

[11]
First-principles (SCAN) data for a crystal of CrAsW2 relaxed with PBEsol, as listed in the Alexandria database.

Symmetry: Immm, No. 71
Crystal system: orthorhombic
Calculated formation energy: 0.242 eV/atom
Volume: 56.8 Å³/f.u.
Final energy: -44.25 eV/atom

Unit cell a=3.1518 b=4.2112 c=5.0244 alpha=114.78 beta=108.28 gamma=90.00
Sites, in units of the cell vectors:
As (0.5000, 0.0000, 0.0000)
W (0.2512, 0.2512, 0.5024)
W (0.7488, 0.7488, 0.4976)
Cr (0.0000, 0.5000, 0.0000)

[12]
First-principles (SCAN) data for a crystal of CrAsW2 relaxed with PBEsol, as listed in the Alexandria database.

Symmetry: Cmmm, No. 65
Crystal system: orthorhombic
Calculated formation energy: 0.379 eV/atom
Volume: 57.0 Å³/f.u.
Final energy: -44.11 eV/atom

Unit cell a=3.1013 b=4.3117 c=4.3117 alpha=98.63 beta=90.00 gamma=90.00
Sites, in units of the cell vectors:
W (0.0000, 0.0000, 0.5000)
Cr (0.5000, 0.5000, 0.5000)
W (0.0000, 0.5000, 0.0000)
As (0.5000, 0.0000, 0.0000)

[13]
First-principles (SCAN) data for a crystal of YCr2As relaxed with PBEsol, as listed in the Alexandria database.

Symmetry: C2/m, No. 12
Crystal system: monoclinic
Calculated formation energy: 0.287 eV/atom
Volume: 65.0 Å³/f.u.
Final energy: -20.91 eV/atom

Unit cell a=3.0213 b=4.8625 c=5.2508 alpha=117.12 beta=106.03 gamma=91.42
Sites, in units of the cell vectors:
As (0.0000, 0.5000, 0.0000)
Cr (0.5000, 0.5000, 0.5000)
Cr (0.0000, 0.0000, 0.5000)
Y (0.5000, 0.0000, 0.0000)

[14]
First-principles (SCAN) data for a crystal of YCr2As relaxed with PBEsol, as listed in the Alexandria database.

Symmetry: Cmmm, No. 65
Crystal system: orthorhombic
Calculated formation energy: 0.152 eV/atom
Volume: 71.0 Å³/f.u.
Final energy: -21.05 eV/atom

Unit cell a=3.9803 b=3.9828 c=4.4961 alpha=90.00 beta=90.00 gamma=95.04
Sites, in units of the cell vectors:
Y (0.0000, 0.5000, 0.5000)
Cr (0.3360, 0.1643, 0.0000)
Cr (0.6640, 0.8357, 0.0000)
As (0.5000, 0.0000, 0.5000)

[15]
First-principles (SCAN) data for a crystal of YCr2As relaxed with PBEsol, as listed in the Alexandria database.

Symmetry: I-4m2, No. 119
Crystal system: tetragonal
Calculated formation energy: -0.008 eV/atom
Volume: 66.4 Å³/f.u.
Final energy: -21.21 eV/atom

Unit cell a=3.9212 b=5.1319 c=3.9212 alpha=67.54 beta=90.00 gamma=112.46
Sites, in units of the cell vectors:
As (0.2500, 0.5000, 0.2500)
Cr (0.7500, 0.5000, 0.7500)
Cr (0.0000, 0.0000, 0.0000)
Y (0.5000, 0.0000, 0.5000)

[16]
First-principles (SCAN) data for a crystal of ZnCrAs relaxed with PBEsol, as listed in the Alexandria database.

Symmetry: I4mm, No. 107
Crystal system: tetragonal
Calculated formation energy: 0.090 eV/atom
Volume: 40.9 Å³/f.u.
Final energy: -17.27 eV/atom

Unit cell a=3.1041 b=3.1041 c=4.7801 alpha=108.95 beta=108.95 gamma=90.00
Sites, in units of the cell vectors:
As (0.0187, 0.0187, 0.0374)
Zn (0.3300, 0.3300, 0.6601)
Cr (0.6513, 0.6513, 0.3026)

[17]
First-principles (SCAN) data for a crystal of ZnCrAs relaxed with PBEsol, as listed in the Alexandria database.

Symmetry: P3m1, No. 156
Crystal system: trigonal
Calculated formation energy: 0.211 eV/atom
Volume: 43.8 Å³/f.u.
Final energy: -17.15 eV/atom

Unit cell a=2.8682 b=2.8682 c=6.1529 alpha=90.00 beta=90.00 gamma=120.00
Sites, in units of the cell vectors:
Zn (0.6667, 0.3333, 0.3564)
Cr (0.3333, 0.6667, 0.6799)
As (0.0000, 0.0000, 0.9636)

[18]
First-principles (SCAN) data for a crystal of Zn2CrAs relaxed with PBEsol, as listed in the Alexandria database.

Symmetry: R3m, No. 160
Crystal system: trigonal
Calculated formation energy: 0.218 eV/atom
Volume: 58.1 Å³/f.u.
Final energy: -16.18 eV/atom

Unit cell a=2.8954 b=2.8954 c=8.1735 alpha=79.80 beta=79.80 gamma=60.00
Sites, in units of the cell vectors:
Zn (0.7477, 0.7477, 0.7569)
Zn (0.9961, 0.9961, 0.0116)
Cr (0.2465, 0.2465, 0.2606)
As (0.5097, 0.5097, 0.4709)

[19]
First-principles (SCAN) data for a crystal of ZnCr2As relaxed with PBEsol, as listed in the Alexandria database.

Symmetry: F-43m, No. 216
Crystal system: cubic
Calculated formation energy: 0.096 eV/atom
Volume: 54.1 Å³/f.u.
Final energy: -17.52 eV/atom

Unit cell a=4.2465 b=4.2465 c=4.2465 alpha=60.00 beta=60.00 gamma=60.00
Sites, in units of the cell vectors:
As (0.5000, 0.5000, 0.5000)
Zn (0.2500, 0.2500, 0.2500)
Cr (0.0000, 0.0000, 0.0000)
Cr (0.7500, 0.7500, 0.7500)

[20]
First-principles (SCAN) data for a crystal of Zr3CrAs relaxed with PBEsol, as listed in the Alexandria database.

Symmetry: Pm-3m, No. 221
Crystal system: cubic
Calculated formation energy: 0.096 eV/atom
Volume: 120.5 Å³/f.u.
Final energy: -26.04 eV/atom

Unit cell a=4.9389 b=4.9389 c=4.9389 alpha=90.00 beta=90.00 gamma=90.00
Sites, in units of the cell vectors:
Cr (0.5000, 0.5000, 0.5000)
Zr (0.0000, 0.0000, 0.5000)
Zr (0.0000, 0.5000, 0.0000)
As (0.0000, 0.0000, 0.0000)
Zr (0.5000, 0.0000, 0.0000)

[21]
First-principles (SCAN) data for a crystal of ZrCrAs2 relaxed with PBEsol, as listed in the Alexandria database.

Symmetry: I-42d, No. 122
Crystal system: tetragonal
Relative energy among the computed polymorphs: 315 meV per atom
Calculated formation energy: -0.432 eV/atom
Volume: 71.3 Å³/f.u.
Final energy: -22.80 eV/atom

Unit cell a=6.9174 b=6.9174 c=5.7278 alpha=127.15 beta=127.15 gamma=90.00
Sites, in units of the cell vectors:
Zr (0.0000, 0.0000, 0.0000)
As (0.1250, 0.1572, 0.7500)
As (0.6250, 0.5928, 0.7500)
Cr (0.7500, 0.2500, 0.5000)
As (0.4072, 0.8750, 0.2500)
Cr (0.5000, 0.5000, 0.0000)
As (0.8428, 0.3750, 0.2500)
Zr (0.2500, 0.7500, 0.5000)

[22]
First-principles (SCAN) data for a crystal of ZrCrAs2 relaxed with PBEsol, as listed in the Alexandria database.

Symmetry: P4mm, No. 99
Crystal system: tetragonal
Relative energy among the computed polymorphs: 0 meV per atom
Calculated formation energy: -0.747 eV/atom
Volume: 72.8 Å³/f.u.
Final energy: -23.11 eV/atom

Unit cell a=3.6883 b=3.6883 c=5.3544 alpha=90.00 beta=90.00 gamma=90.00
Sites, in units of the cell vectors:
As (0.5000, 0.5000, 0.3359)
Zr (0.5000, 0.5000, 0.8232)
Cr (0.0000, 0.0000, 0.4245)
As (0.0000, 0.0000, 0.9165)

[23]
First-principles (SCAN) data for a crystal of ZrCrAs relaxed with PBEsol, as listed in the Alexandria database.

Symmetry: F-43m, No. 216
Crystal system: cubic
Calculated formation energy: -0.345 eV/atom
Volume: 55.0 Å³/f.u.
Final energy: -23.44 eV/atom

Unit cell a=4.2675 b=4.2675 c=4.2675 alpha=60.00 beta=60.00 gamma=60.00
Sites, in units of the cell vectors:
As (0.2500, 0.2500, 0.2500)
Cr (0.0000, 0.0000, 0.0000)
Zr (0.5000, 0.5000, 0.5000)

[24]
First-principles (SCAN) data for a crystal of ZrCrAs2 relaxed with PBEsol, as listed in the Alexandria database.

Symmetry: R3m, No. 160
Crystal system: trigonal
Relative energy among the computed polymorphs: 794 meV per atom
Calculated formation energy: 0.046 eV/atom
Volume: 68.9 Å³/f.u.
Final energy: -22.32 eV/atom

Unit cell a=3.1495 b=3.1495 c=8.2290 alpha=78.97 beta=78.97 gamma=60.00
Sites, in units of the cell vectors:
Zr (0.2439, 0.2439, 0.2683)
As (0.7627, 0.7627, 0.7119)
As (0.9995, 0.9995, 0.0015)
Cr (0.4939, 0.4939, 0.5183)

[25]
First-principles (SCAN) data for a crystal of ZrCrAs4 relaxed with PBEsol, as listed in the Alexandria database.

Symmetry: F-43m, No. 216
Crystal system: cubic
Calculated formation energy: 0.206 eV/atom
Volume: 112.1 Å³/f.u.
Final energy: -21.44 eV/atom

Unit cell a=5.4125 b=5.4125 c=5.4125 alpha=60.00 beta=60.00 gamma=60.00
Sites, in units of the cell vectors:
As (0.3752, 0.3752, 0.8745)
Zr (0.0000, 0.0000, 0.0000)
Cr (0.7500, 0.7500, 0.7500)
As (0.3752, 0.8745, 0.3752)
As (0.3752, 0.3752, 0.3752)
As (0.8745, 0.3752, 0.3752)

[26]
First-principles (SCAN) data for a crystal of Zr2CrAs relaxed with PBEsol, as listed in the Alexandria database.

Symmetry: Cmmm, No. 65
Crystal system: orthorhombic
Calculated formation energy: -0.187 eV/atom
Volume: 70.4 Å³/f.u.
Final energy: -25.18 eV/atom

Unit cell a=3.0703 b=3.0703 c=7.8355 alpha=90.00 beta=90.00 gamma=107.53
Sites, in units of the cell vectors:
Zr (0.0000, 0.0000, 0.7572)
Cr (0.5000, 0.5000, 0.0000)
Zr (0.0000, 0.0000, 0.2428)
As (0.5000, 0.5000, 0.5000)

[27]
First-principles (SCAN) data for a crystal of ZrCrAs relaxed with PBEsol, as listed in the Alexandria database.

Symmetry: I4mm, No. 107
Crystal system: tetragonal
Calculated formation energy: -0.226 eV/atom
Volume: 47.1 Å³/f.u.
Final energy: -23.32 eV/atom

Unit cell a=3.1734 b=3.1734 c=5.1869 alpha=107.81 beta=107.81 gamma=90.00
Sites, in units of the cell vectors:
As (0.0284, 0.0284, 0.0569)
Cr (0.6394, 0.6394, 0.2788)
Zr (0.3322, 0.3322, 0.6643)

[28]
First-principles (SCAN) data for a crystal of Cs3As relaxed with PBEsol, as listed in the Alexandria database.

Symmetry: P6_3/mmc, No. 194
Crystal system: hexagonal
Calculated formation energy: -0.320 eV/atom
Volume: 177.0 Å³/f.u.
Final energy: -33.73 eV/atom

Unit cell a=5.7092 b=8.4609 c=8.4609 alpha=120.00 beta=90.00 gamma=90.00
Sites, in units of the cell vectors:
Cs (0.2500, 0.1854, 0.8146)
Cs (0.7500, 0.8146, 0.1854)
As (0.7500, 0.3333, 0.6667)
Cs (0.7500, 0.8146, 0.6293)
As (0.2500, 0.6667, 0.3333)
Cs (0.2500, 0.1854, 0.3707)
Cs (0.2500, 0.6293, 0.8146)
Cs (0.7500, 0.3707, 0.1854)

[29]
First-principles (SCAN) data for a crystal of Cs3As relaxed with PBEsol, as listed in the Alexandria database.

Symmetry: P6_3cm, No. 185
Crystal system: hexagonal
Calculated formation energy: -0.389 eV/atom
Volume: 181.1 Å³/f.u.
Final energy: -33.79 eV/atom

Unit cell a=10.6398 b=10.6398 c=11.0815 alpha=90.00 beta=90.00 gamma=120.00
Sites, in units of the cell vectors:
As (0.3272, 0.0000, 0.6551)
Cs (0.6304, 0.6304, 0.9900)
Cs (0.6304, 0.0000, 0.4900)
Cs (0.3333, 0.6667, 0.2058)
Cs (0.6667, 0.3333, 0.7058)
Cs (0.7088, 0.0000, 0.8209)
Cs (0.6667, 0.3333, 0.2058)
As (0.3272, 0.3272, 0.1551)
As (0.6728, 0.6728, 0.6551)
As (0.6728, 0.0000, 0.1551)
Cs (0.0000, 0.7088, 0.8209)
Cs (0.0000, 0.2912, 0.3209)
Cs (0.7088, 0.7088, 0.3209)
Cs (0.3696, 0.3696, 0.4900)
Cs (0.3333, 0.6667, 0.7058)
Cs (0.2912, 0.0000, 0.3209)
As (0.0000, 0.3272, 0.6551)
Cs (0.0000, 0.0000, 0.0764)
Cs (0.0000, 0.0000, 0.5764)
Cs (0.2912, 0.2912, 0.8209)
Cs (0.0000, 0.6304, 0.4900)
As (0.0000, 0.6728, 0.1551)
Cs (0.3696, 0.0000, 0.9900)
Cs (0.0000, 0.3696, 0.9900)